Material: LiLuCu2
Method: DFT, PBE-GGA
State: optimized geometry

Calculated values
**Total DFT energy (no corrections)**: -3.50 eV per atom

Cell: 4.4508 4.4508 4.4508 Å, 60.00 60.00 60.00°
With the nearest neighbours (Å) after each atom.
Sites, in units of the cell vectors:
Li  0.0000  0.0000  0.0000  4 Cu 2.73, 4 Lu 2.73
Lu  0.2500  0.2500  0.2500  4 Li 2.73, 4 Cu 2.73
Cu  0.5000  0.5000  0.5000  4 Cu 2.73, 4 Lu 2.73
Cu  0.7500  0.7500  0.7500  4 Li 2.73, 4 Cu 2.73

Material: LiLuCuSb
Method: DFT, PBE-GGA
State: optimized geometry

Calculated values
**Total DFT energy (no corrections)**: -3.82 eV per atom

Cell: 4.7149 4.7149 4.7149 Å, 60.00 60.00 60.00°
With the nearest neighbours (Å) after each atom.
Sites, in units of the cell vectors:
Li  0.0000  0.0000  0.0000  4 Lu 2.89, 4 Sb 2.89
Lu  0.7500  0.7500  0.7500  4 Cu 2.89, 4 Li 2.89
Cu  0.5000  0.5000  0.5000  4 Lu 2.89, 4 Sb 2.89
Sb  0.2500  0.2500  0.2500  4 Cu 2.89, 4 Li 2.89

Material: LiLuCuSb
Method: DFT, PBE-GGA
State: optimized geometry

Calculated values
**Total DFT energy (no corrections)**: -3.69 eV per atom

Cell: 4.8165 4.8165 4.8165 Å, 60.00 60.00 60.00°
With the nearest neighbours (Å) after each atom.
Sites, in units of the cell vectors:
Li  0.0000  0.0000  0.0000  4 Cu 2.95, 4 Lu 2.95
Lu  0.2500  0.2500  0.2500  4 Sb 2.95, 4 Li 2.95
Cu  0.7500  0.7500  0.7500  4 Li 2.95, 4 Sb 2.95
Sb  0.5000  0.5000  0.5000  4 Cu 2.95, 4 Lu 2.95